1.
Density functional theory data (PBE) for a relaxed structure of CsAl3I.

Summary:
* formation energy from raw total energies: 350 kJ/mol of formula units

Geometry as POSCAR:
```
CsAl3I
1.0
6.092 0.000 0.000
0.000 6.092 0.000
0.000 0.000 6.092
Cs Al I
1 3 1
Direct
0.000 0.000 0.000 Cs
0.000 0.500 0.500 Al
0.500 0.000 0.500 Al
0.500 0.500 0.000 Al
0.500 0.500 0.500 I
```

=====

2.
Density functional theory data (PBE) for a relaxed structure of BaY3Cu.

Summary:
* energy of formation: 1.372 eV/atom

Geometry as POSCAR:
```
BaY3Cu
1.0
5.666 0.000 0.000
0.000 5.666 0.000
0.000 0.000 5.666
Ba Y Cu
1 3 1
Direct
0.000 0.000 0.000 Ba
0.000 0.000 0.500 Y
0.000 0.500 0.000 Y
0.500 0.000 0.000 Y
0.500 0.500 0.500 Cu
```

=====

3.
Density functional theory data (PBE) for a relaxed structure of SnBiAu.

Summary:
* energy of formation: -0.044 eV/atom

Geometry as POSCAR:
```
SnBiAu
1.0
4.220 0.000 0.000
-2.110 3.655 0.000
0.000 0.000 5.347
Sn Bi Au
1 1 1
Direct
0.000 0.000 0.000 Sn
0.333 0.667 0.555 Bi
0.667 0.333 0.259 Au
```

=====

Number 1: distance to the lowest polymorph of the same formula 0.000 eV per atom, raw total energy -0.074 hartree per atom. Number 2: distance to the lowest polymorph of the same formula 1.287 eV per atom, raw total energy -0.136 hartree per atom. Number 3: distance to the lowest polymorph of the same formula 0.032 eV per atom, raw total energy -0.138 hartree per atom.